Entry 1:
First-principles (GGA-PBEsol) data for an optimized crystal structure of LiIn2Pb, as listed in the Alexandria database.

Geometry as POSCAR:
```
LiIn2Pb
1.0
-2.216 2.216 4.905
2.216 -2.216 4.905
2.216 2.216 -4.905
Li In Pb
1 2 1
direct
0.000 0.000 0.000
0.250 0.750 0.500
0.750 0.250 0.500
0.500 0.500 0.000
```

VASP energy ... -3.12 eV/atom
Energy of formation from the pure elements ... -0.6 eV per formula unit
DOS(E_F) ... 1.55 states/eV/f.u.
Theoretical density ... 7.65 g cm⁻³

***

Entry 2:
First-principles (GGA-PBEsol) data for an optimized crystal structure of LiInPb2, as listed in the Alexandria database.

Geometry as POSCAR:
```
LiInPb2
1.0
-2.322 2.322 4.768
2.322 -2.322 4.768
2.322 2.322 -4.768
Li In Pb
1 1 2
direct
0.000 0.000 0.000
0.250 0.750 0.500
0.500 0.500 0.000
0.750 0.250 0.500
```

VASP energy ... -3.36 eV/atom
Energy of formation from the pure elements ... -0.5 eV per formula unit
DOS(E_F) ... 1.73 states/eV/f.u.
Theoretical density ... 8.66 g cm⁻³

***

Entry 3:
First-principles (GGA-PBEsol) data for an optimized crystal structure of LiInPb2, as listed in the Alexandria database.

Geometry as POSCAR:
```
LiInPb2
1.0
1.764 1.018 9.588
-1.764 1.018 9.588
0.000 -2.037 9.588
Li In Pb
1 1 2
direct
0.000 0.000 0.000
0.500 0.500 0.500
0.253 0.253 0.253
0.747 0.747 0.747
```

VASP energy ... -3.32 eV/atom
Energy of formation from the pure elements ... -0.3 eV per formula unit
DOS(E_F) ... 1.46 states/eV/f.u.
Theoretical density ... 8.62 g cm⁻³

***

Entry 4:
First-principles (GGA-PBEsol) data for an optimized crystal structure of LiIn2Pb, as listed in the Alexandria database.

Geometry as POSCAR:
```
LiIn2Pb
1.0
3.551 0.000 0.000
0.000 4.987 0.000
0.000 0.000 5.532
Li In Pb
1 2 1
direct
0.000 0.000 0.000
0.000 0.500 0.652
0.500 0.000 0.519
0.500 0.500 0.141
```

VASP energy ... -3.10 eV/atom
Energy of formation from the pure elements ... -0.5 eV per formula unit
DOS(E_F) ... 1.76 states/eV/f.u.
Theoretical density ... 7.52 g cm⁻³

***

Entry 5:
First-principles (GGA-PBEsol) data for an optimized crystal structure of LiIn2Pb, as listed in the Alexandria database.

Geometry as POSCAR:
```
LiIn2Pb
1.0
3.050 -4.876 0.000
3.050 4.876 0.000
0.000 0.000 3.300
Li In Pb
1 2 1
direct
0.000 0.000 0.000
0.000 0.500 0.500
0.500 0.000 0.500
0.500 0.500 0.000
```

VASP energy ... -3.09 eV/atom
Energy of formation from the pure elements ... -0.4 eV per formula unit
DOS(E_F) ... 2.09 states/eV/f.u.
Theoretical density ... 7.51 g cm⁻³

***

Entry 6:
First-principles (GGA-PBEsol) data for an optimized crystal structure of LiIn2Pb, as listed in the Alexandria database.

Geometry as POSCAR:
```
LiIn2Pb
1.0
3.402 0.000 0.000
0.000 4.480 0.000
0.000 0.000 6.396
Li In Pb
1 2 1
direct
0.000 0.000 0.000
0.000 0.000 0.517
0.500 0.500 0.758
0.500 0.500 0.247
```

VASP energy ... -3.10 eV/atom
Energy of formation from the pure elements ... -0.5 eV per formula unit
DOS(E_F) ... 1.66 states/eV/f.u.
Theoretical density ... 7.56 g cm⁻³

***

Entry 7:
First-principles (GGA-PBEsol) data for an optimized crystal structure of Li2InPb2, as listed in the Alexandria database.

Geometry as POSCAR:
```
Li2InPb2
1.0
8.475 0.000 0.000
0.000 8.475 0.000
0.000 0.000 3.253
Li In Pb
4 2 4
direct
0.173 0.327 0.000
0.327 0.827 0.000
0.673 0.173 0.000
0.827 0.673 0.000
0.000 0.000 0.500
0.500 0.500 0.500
0.129 0.629 0.500
0.371 0.129 0.500
0.629 0.871 0.500
0.871 0.371 0.500
```

VASP energy ... -3.15 eV/atom
Energy of formation from the pure elements ... -0.8 eV per formula unit
DOS(E_F) ... 1.60 states/eV/f.u.
Theoretical density ... 7.72 g cm⁻³

***

Entry 8:
First-principles (GGA-PBEsol) data for an optimized crystal structure of SrLi2InPb, as listed in the Alexandria database.

Geometry as POSCAR:
```
SrLi2InPb
1.0
5.750 0.000 0.000
0.000 5.750 0.000
0.000 0.000 5.985
Sr Li In Pb
1 2 1 1
direct
0.000 0.000 0.000
0.000 0.500 0.000
0.500 0.000 0.000
0.500 0.500 0.500
0.000 0.000 0.500
```

VASP energy ... -1.80 eV/atom
Energy of formation from the pure elements ... 3.8 eV per formula unit
DOS(E_F) ... 4.44 states/eV/f.u.
Theoretical density ... 3.55 g cm⁻³

***

Entry 9:
First-principles (GGA-PBEsol) data for an optimized crystal structure of LiIn2Pd, as listed in the Alexandria database.

Geometry as POSCAR:
```
LiIn2Pd
1.0
0.000 3.258 3.258
3.258 0.000 3.258
3.258 3.258 0.000
Li In Pd
1 2 1
direct
0.000 0.000 0.000
0.250 0.250 0.250
0.750 0.750 0.750
0.500 0.500 0.500
```

VASP energy ... -3.96 eV/atom
Energy of formation from the pure elements ... -2.0 eV per formula unit
DOS(E_F) ... 0.99 states/eV/f.u.
Theoretical density ... 8.23 g cm⁻³

***

Entry 10:
First-principles (GGA-PBEsol) data for an optimized crystal structure of LiPmIn2, as listed in the Alexandria database.

Geometry as POSCAR:
```
LiPmIn2
1.0
0.000 3.621 3.621
3.621 0.000 3.621
3.621 3.621 0.000
Li Pm In
1 1 2
direct
0.000 0.000 0.000
0.500 0.500 0.500
0.250 0.250 0.250
0.750 0.750 0.750
```

VASP energy ... -3.70 eV/atom
Energy of formation from the pure elements ... -1.8 eV per formula unit
DOS(E_F) ... 1.17 states/eV/f.u.
Theoretical density ... 6.67 g cm⁻³

***

Entry 11:
First-principles (GGA-PBEsol) data for an optimized crystal structure of Li2InPt, as listed in the Alexandria database.

Geometry as POSCAR:
```
Li2InPt
1.0
-2.221 2.221 3.156
2.221 -2.221 3.156
2.221 2.221 -3.156
Li In Pt
2 1 1
direct
0.000 0.000 0.000
0.750 0.250 0.500
0.500 0.500 0.000
0.250 0.750 0.500
```

VASP energy ... -4.03 eV/atom
Energy of formation from the pure elements ... -2.3 eV per formula unit
DOS(E_F) ... 1.42 states/eV/f.u.
Theoretical density ... 8.63 g cm⁻³

***

Entry 12:
First-principles (GGA-PBEsol) data for an optimized crystal structure of LiIn2Pt2, as listed in the Alexandria database.

Geometry as POSCAR:
```
LiIn2Pt2
1.0
7.498 0.000 0.000
0.000 7.498 0.000
0.000 0.000 3.240
Li In Pt
2 4 4
direct
0.000 0.000 0.000
0.500 0.500 0.000
0.160 0.340 0.500
0.340 0.840 0.500
0.660 0.160 0.500
0.840 0.660 0.500
0.138 0.638 0.000
0.362 0.138 0.000
0.638 0.862 0.000
0.862 0.362 0.000
```

VASP energy ... -4.87 eV/atom
Energy of formation from the pure elements ... -2.5 eV per formula unit
DOS(E_F) ... 1.86 states/eV/f.u.
Theoretical density ... 11.43 g cm⁻³

***

Entry 13:
First-principles (GGA-PBEsol) data for an optimized crystal structure of LiInPt, as listed in the Alexandria database.

Geometry as POSCAR:
```
LiInPt
1.0
-1.453 1.942 4.215
1.453 -1.942 4.215
1.453 1.942 -4.215
Li In Pt
1 1 1
direct
0.000 0.000 0.000
0.321 0.321 0.000
0.652 0.652 0.000
```

VASP energy ... -4.50 eV/atom
Energy of formation from the pure elements ... -1.6 eV per formula unit
DOS(E_F) ... 0.98 states/eV/f.u.
Theoretical density ... 11.06 g cm⁻³

***

Entry 14:
First-principles (GGA-PBEsol) data for an optimized crystal structure of LiInPt, as listed in the Alexandria database.

Geometry as POSCAR:
```
LiInPt
1.0
-1.667 1.667 4.281
1.667 -1.667 4.281
1.667 1.667 -4.281
Li In Pt
1 1 1
direct
0.000 0.000 0.000
0.680 0.680 0.000
0.353 0.353 0.000
```

VASP energy ... -4.47 eV/atom
Energy of formation from the pure elements ... -1.5 eV per formula unit
DOS(E_F) ... 1.03 states/eV/f.u.
Theoretical density ... 11.05 g cm⁻³

***

Entry 15:
First-principles (GGA-PBEsol) data for an optimized crystal structure of LiInPt, as listed in the Alexandria database.

Geometry as POSCAR:
```
LiInPt
1.0
4.376 0.000 0.000
-2.188 3.790 0.000
0.000 0.000 2.843
Li In Pt
1 1 1
direct
0.000 0.000 0.000
0.333 0.667 0.380
0.667 0.333 0.825
```

VASP energy ... -4.49 eV/atom
Energy of formation from the pure elements ... -1.6 eV per formula unit
DOS(E_F) ... 0.81 states/eV/f.u.
Theoretical density ... 11.16 g cm⁻³

***

Entry 16:
First-principles (GGA-PBEsol) data for an optimized crystal structure of Li2InPt, as listed in the Alexandria database.

Geometry as POSCAR:
```
Li2InPt
1.0
3.909 0.000 0.000
0.000 3.909 0.000
0.000 0.000 4.068
Li In Pt
2 1 1
direct
0.000 0.500 0.000
0.500 0.000 0.000
0.000 0.000 0.500
0.500 0.500 0.500
```

VASP energy ... -3.95 eV/atom
Energy of formation from the pure elements ... -1.9 eV per formula unit
DOS(E_F) ... 1.37 states/eV/f.u.
Theoretical density ... 8.65 g cm⁻³

***

Entry 17:
First-principles (GGA-PBEsol) data for an optimized crystal structure of Li2InPt, as listed in the Alexandria database.

Geometry as POSCAR:
```
Li2InPt
1.0
-1.982 1.982 3.881
1.982 -1.982 3.881
1.982 1.982 -3.881
Li In Pt
2 1 1
direct
0.250 0.750 0.500
0.750 0.250 0.500
0.000 0.000 0.000
0.500 0.500 0.000
```

VASP energy ... -3.96 eV/atom
Energy of formation from the pure elements ... -1.9 eV per formula unit
DOS(E_F) ... 1.32 states/eV/f.u.
Theoretical density ... 8.81 g cm⁻³

***

Entry 18:
First-principles (GGA-PBEsol) data for an optimized crystal structure of LiScIn2Pt, as listed in the Alexandria database.

Geometry as POSCAR:
```
LiScIn2Pt
1.0
5.129 0.000 0.000
0.000 5.129 0.000
0.000 0.000 5.018
Li Sc In Pt
1 1 2 1
direct
0.000 0.000 0.000
0.500 0.500 0.000
0.000 0.500 0.500
0.500 0.000 0.500
0.500 0.500 0.500
```

VASP energy ... -4.45 eV/atom
Energy of formation from the pure elements ... -0.7 eV per formula unit
DOS(E_F) ... 3.26 states/eV/f.u.
Theoretical density ... 6.00 g cm⁻³

***

Entry 19:
First-principles (GGA-PBEsol) data for an optimized crystal structure of RbLi2InRe, as listed in the Alexandria database.

Geometry as POSCAR:
```
RbLi2InRe
1.0
5.315 0.000 0.000
0.000 5.315 0.000
0.000 0.000 5.194
Rb Li In Re
1 2 1 1
direct
0.000 0.000 0.000
0.000 0.500 0.500
0.500 0.000 0.500
0.500 0.500 0.500
0.500 0.500 0.000
```

VASP energy ... -3.26 eV/atom
Energy of formation from the pure elements ... 5.0 eV per formula unit
DOS(E_F) ... 4.70 states/eV/f.u.
Theoretical density ... 4.53 g cm⁻³

***

Entry 20:
First-principles (GGA-PBEsol) data for an optimized crystal structure of Li2InRe, as listed in the Alexandria database.

Geometry as POSCAR:
```
Li2InRe
1.0
2.688 0.000 0.000
0.000 4.317 0.000
0.000 0.000 5.589
Li In Re
2 1 1
direct
0.000 0.000 0.000
0.500 0.500 0.242
0.500 0.500 0.712
0.000 0.000 0.489
```

VASP energy ... -4.72 eV/atom
Energy of formation from the pure elements ... 1.4 eV per formula unit
DOS(E_F) ... 2.81 states/eV/f.u.
Theoretical density ... 8.06 g cm⁻³